Record 1
Density functional theory data (PBE) for an optimized crystal structure of IrRu2Se.

Summary:
* V: 15.11 A^3/atom
* SG: Cm (8)
* raw formation energy: 0.29 eV per atom

a = 4.9220 Å, b = 4.9220 Å, c = 4.5001 Å
α = 91.18°, β = 91.18°, γ = 33.67°
With the nearest neighbours (Å) after each atom.
Atoms (fractional coordinates):
1 Ir 0.0000 0.0000 0.0000  1 Se 2.48, 2 Ru 2.62
2 Ru 0.2717 0.2717 0.7592  4 Se 2.53-2.80, 2 Ru 2.73, 3 Ir 2.78-2.80
3 Ru 0.5494 0.5494 0.5245  1 Se 2.43, 2 Ir 2.62
4 Se 0.7810 0.7810 0.2946  3 Ru 2.43-2.53, 1 Ir 2.48

Record 2
Density functional theory data (PBE) for an optimized crystal structure of IrRu2Se.

Summary:
* V: 21.15 A^3/atom
* SG: I-42d (122)
* raw formation energy: 0.66 eV per atom

a = 6.7452 Å, b = 6.7452 Å, c = 6.7452 Å
α = 131.38°, β = 131.38°, γ = 71.21°
With the nearest neighbours (Å) after each atom.
Atoms (fractional coordinates):
1 Ir 0.0000 0.0000 0.0000  4 Ru 2.40
2 Ir 0.7500 0.2500 0.5000  4 Ru 2.40
3 Ru 0.1254 0.6250 0.0004  2 Se 2.39, 2 Ir 2.40
4 Ru 0.3750 0.3754 0.5004  2 Se 2.39, 2 Ir 2.40
5 Ru 0.6246 0.1250 0.9996  2 Se 2.39, 2 Ir 2.40
6 Ru 0.8750 0.8746 0.4996  2 Se 2.39, 2 Ir 2.40
7 Se 0.2500 0.7500 0.5000  4 Ru 2.39
8 Se 0.5000 0.5000 0.0000  4 Ru 2.39

Record 3
Density functional theory data (PBE) for an optimized crystal structure of IrRu2Se.

Summary:
* V: 14.67 A^3/atom
* SG: P4/mmm (123)
* raw formation energy: 0.27 eV per atom

a = 2.8739 Å, b = 2.8739 Å, c = 7.1047 Å
α = 90.00°, β = 90.00°, γ = 90.00°
With the nearest neighbours (Å) after each atom.
Atoms (fractional coordinates):
1 Ir 0.0000 0.0000 0.0000  8 Ru 2.73, 4 Ir 2.87
2 Ru 0.5000 0.5000 0.2573  4 Se 2.67, 4 Ir 2.73, 4 Ru 2.87
3 Ru 0.5000 0.5000 0.7427  4 Se 2.67, 4 Ir 2.73, 4 Ru 2.87
4 Se 0.0000 0.0000 0.5000  8 Ru 2.67, 4 Se 2.87